[1]
# Zr2SnBi2

Crystalline Zr2SnBi2 at its relaxed geometry (PBE, Alexandria).

Values from the calculation:
* formation energy: -0.20 eV/f.u.
* uncorrected energy: -5.8113 eV/atom
* energy above the most stable polymorph in this dataset: 233 meV/atom
* calculated volume: 268.0 Å³ per cell

Cell: 8.415 8.415 3.784 Å, 90.00 90.00 90.00°
Space group P4/mbm (No. 127)
Unique sites:
Zr (0.139, 0.361, 0.000)
Sn (0.000, 0.000, 0.500)
Bi (0.151, 0.651, 0.500)

=====

[2]
# Zr5Sn2Bi2

Crystalline Zr5Sn2Bi2 at its relaxed geometry (PBE, Alexandria).

Values from the calculation:
* formation energy: -3.31 eV/f.u.
* uncorrected energy: -6.8685 eV/atom
* calculated volume: 881.4 Å³ per cell

Cell: 14.575 7.811 7.742 Å, 90.00 90.00 90.00°
Space group Cmce (No. 64)
Unique sites:
Zr (0.000, 0.000, 0.000)
Zr (0.140, 0.156, 0.338)
Sn (0.201, 0.000, 0.000)
Bi (0.000, 0.144, 0.642)